# 1
This record from the Alexandria database describes Ti7GeC2 after structural relaxation. The functional is GGA-PBE.

a = 4.106 Å, b = 6.425 Å, c = 6.425 Å
α = 115.55°, β = 90.00°, γ = 90.00°
Fractional coordinates of all 10 atoms:
Ti 0.000 0.727 0.273
Ti 0.000 0.273 0.727
Ti 0.500 0.067 0.332
Ti 0.500 0.933 0.668
Ti 0.500 0.332 0.067
Ti 0.500 0.668 0.933
Ti 0.500 0.500 0.500
Ge 0.000 0.000 0.000
C 0.500 0.704 0.296
C 0.500 0.296 0.704

Calculated formation energy ... -22.4 kJ/mol of atoms
Density ... 4.7 g/cm3

---

# 2
This record from the Alexandria database describes Rb2TmAgCl6 after structural relaxation. The functional is GGA-PBE.

a = 7.495 Å, b = 7.636 Å, c = 10.484 Å
α = 90.00°, β = 89.80°, γ = 90.00°
Fractional coordinates of all 20 atoms:
Rb 0.011 0.952 0.250
Rb 0.511 0.548 0.750
Rb 0.989 0.048 0.750
Rb 0.489 0.452 0.250
Tm 0.500 0.000 0.500
Tm 0.000 0.500 0.000
Ag 0.500 0.000 0.000
Ag 0.000 0.500 0.500
Cl 0.278 0.701 0.034
Cl 0.778 0.799 0.534
Cl 0.722 0.299 0.966
Cl 0.222 0.201 0.466
Cl 0.300 0.723 0.467
Cl 0.800 0.777 0.967
Cl 0.700 0.277 0.533
Cl 0.200 0.223 0.033
Cl 0.934 0.511 0.245
Cl 0.434 0.989 0.745
Cl 0.066 0.489 0.755
Cl 0.566 0.011 0.255

Energy relative to the lowest polymorph listed for this composition ... 0.000 eV/atom
Formation energy from raw total energies ... -1.83 eV per atom
Density ... 3.7 g/cm3

---

# 3
This record from the Alexandria database describes Ac8AgIr5 after structural relaxation. The functional is GGA-PBE.

a = 8.155 Å, b = 8.155 Å, c = 8.155 Å
α = 108.91°, β = 110.59°, γ = 108.91°
Fractional coordinates of all 14 atoms:
Ac 0.115 0.756 0.000
Ac 0.000 0.116 0.756
Ac 0.730 0.244 0.370
Ac 0.630 0.360 0.874
Ac 0.514 0.640 0.270
Ac 0.640 0.884 0.885
Ac 0.244 0.244 0.360
Ac 0.126 0.756 0.486
Ag 0.250 0.500 0.750
Ir 0.015 0.385 0.122
Ir 0.878 0.893 0.262
Ir 0.738 0.615 0.631
Ir 0.500 0.000 0.500
Ir 0.369 0.107 0.985

Calculated formation energy ... -53.9 kJ/mol of atoms
Density ... 11.5 g/cm3

---

# 4
This record from the Alexandria database describes Nd6Cd5Ru after structural relaxation. The functional is GGA-PBE.

a = 5.346 Å, b = 7.704 Å, c = 9.254 Å
α = 65.40°, β = 73.23°, γ = 90.00°
Fractional coordinates of all 12 atoms:
Ru 0.000 0.000 0.000
Nd 0.848 0.615 0.306
Nd 0.848 0.079 0.306
Nd 0.500 0.774 0.000
Nd 0.500 0.226 0.000
Nd 0.152 0.921 0.694
Nd 0.152 0.385 0.694
Cd 0.685 0.186 0.628
Cd 0.333 0.331 0.338
Cd 0.000 0.500 0.000
Cd 0.667 0.669 0.662
Cd 0.315 0.814 0.372

Calculated formation energy ... -29.4 kJ/mol of atoms
Density ... 7.7 g/cm3

---

# 5
This record from the Alexandria database describes CaZrSc2Co after structural relaxation. The functional is GGA-PBE.

a = 5.303 Å, b = 4.590 Å, c = 5.303 Å
α = 90.00°, β = 90.00°, γ = 90.00°
Fractional coordinates of all 5 atoms:
Sc 0.000 0.000 0.500
Sc 0.500 0.000 0.000
Ca 0.500 0.500 0.500
Co 0.000 0.500 0.000
Zr 0.000 0.000 0.000

Energy relative to the lowest polymorph listed for this composition ... 0.608 eV/atom
Calculated formation energy ... 60.7 kJ/mol of atoms
Density ... 3.6 g/cm3